## Ba2CuRhO4 (PBE)

Data for crystalline Ba2CuRhO4 at its relaxed geometry.

The total energy comes out at -5.79 eV per atom. The total magnetization is 4.08 μB/cell. The value obtained for the uncorrected formation energy is -134.86 kJ/mol of atoms.

The structure belongs to space group I-4 (No. 82); the cell edges are 6.2690, 6.2690 and 6.6500 Å and the angles 90.00°, 90.00° and 90.00°. The asymmetric unit holds Ba at (0.0000, 0.0000, 0.0000), Ba at (0.0000, 0.5000, 0.2500), Cu at (0.0000, 0.5000, 0.7500), Rh at (0.0000, 0.0000, 0.5000) and O at (0.1494, 0.2767, 0.5694).

---

## CdH2Pt2 (PBE)

Data for crystalline CdH2Pt2 at its relaxed geometry.

The total energy comes out at -3.99 eV per atom. The total magnetization is 0.00 μB/cell. The value obtained for the energy above the most stable polymorph in this dataset is 0.0203 eV per atom.

The structure belongs to space group C2/c (No. 15); the cell edges are 6.8843, 8.5026 and 5.4936 Å and the angles 90.00°, 127.29° and 90.00°. The asymmetric unit holds Cd at (0.0000, 0.1837, 0.2500), H at (0.2056, 0.0696, 0.8248), Pt at (0.0000, 0.5000, 0.0000) and Pt at (0.2500, 0.2500, 0.0000).

---

## ZrSbTe2Cl (PBE)

Data for crystalline ZrSbTe2Cl at its relaxed geometry.

The total energy comes out at -3.50 eV per atom. The total magnetization is 0.00 μB/cell. The value obtained for the energy above the most stable polymorph in this dataset is 0.7464 eV per atom. The value obtained for the uncorrected formation energy is 64.03 kJ/mol of atoms.

The structure belongs to space group P4/mmm (No. 123); the cell edges are 5.3592, 5.3592 and 5.0657 Å and the angles 90.00°, 90.00° and 90.00°. The asymmetric unit holds Zr at (0.0000, 0.0000, 0.0000), Sb at (0.5000, 0.5000, 0.0000), Te at (0.0000, 0.5000, 0.5000) and Cl at (0.5000, 0.5000, 0.5000).

---

## TaCu2Pt (PBE)

Data for crystalline TaCu2Pt at its relaxed geometry.

The calculated formation energy is -0.180 eV/atom. The total energy comes out at -6.70 eV per atom. The total magnetization is 0.00 μB/cell. The value obtained for the energy above the most stable polymorph in this dataset is 0.0446 eV per atom.

The structure belongs to space group Pmm2 (No. 25); the cell edges are 2.7949, 3.6234 and 5.7795 Å and the angles 90.00°, 90.00° and 90.00°. The asymmetric unit holds Ta at (0.0000, 0.0000, 0.0000), Cu at (0.0000, 0.0000, 0.4775), Cu at (0.5000, 0.5000, 0.2752) and Pt at (0.5000, 0.5000, 0.7401).

---

## Rb12Na2Hg5 (PBE)

Data for crystalline Rb12Na2Hg5 at its relaxed geometry.

The calculated formation energy is -0.106 eV/atom. The total energy comes out at -0.94 eV per atom. The total magnetization is 0.00 μB/cell.

The structure belongs to space group C2/m (No. 12); the cell edges are 16.0428, 13.2838 and 11.1256 Å and the angles 90.00°, 110.08° and 90.00°. The asymmetric unit holds Rb at (0.1004, 0.0000, 0.2093), Rb at (0.1149, 0.3041, 0.4159), Rb at (0.1171, 0.5000, 0.8214), Rb at (0.1792, 0.1634, 0.8135), Na at (0.0000, 0.3086, 0.0000), Hg at (0.0000, 0.0000, 0.5000), Hg at (0.1235, 0.5000, 0.1726) and Hg at (0.2083, 0.0000, 0.5595).

---

## TcPdW2N (PBE)

Data for crystalline TcPdW2N at its relaxed geometry.

The total energy comes out at -9.95 eV per atom. The total magnetization is 0.00 μB/cell. The value obtained for the uncorrected formation energy is 0.63 kJ/mol of atoms.

The structure belongs to space group P4/mmm (No. 123); the cell edges are 4.1015, 4.1015 and 4.0791 Å and the angles 90.00°, 90.00° and 90.00°. The asymmetric unit holds Tc at (0.0000, 0.0000, 0.0000), Pd at (0.5000, 0.5000, 0.0000), W at (0.0000, 0.5000, 0.5000) and N at (0.0000, 0.0000, 0.5000).